1.
CeSm4Ho6: relaxed, PBE.

Unit cell a=9.6698 b=9.6698 c=9.6698 alpha=57.69 beta=140.11 gamma=140.11
Each line ends with the local moment (μB).
Positions (direct):
Ho 0.6348 0.1904 0.1904  0.00
Ho 0.3652 0.5555 0.5555  0.00
Ho 0.5000 0.0000 0.5000  -0.01
Ho 0.0000 0.8096 0.4445  0.00
Ho 0.0000 0.4445 0.8096  0.00
Ho 0.5000 0.5000 0.0000  -0.01
Sm 0.0000 0.0153 0.6367  0.00
Sm 0.3786 0.3633 0.3633  0.00
Sm 0.0000 0.6367 0.0153  0.00
Sm 0.6214 0.9847 0.9847  0.00
Ce 0.0000 0.0000 0.0000  -0.21

Results
As for the formation energy: 0.316 eV per atom. The total magnetization is 0.2 μB per formula unit. The calculation puts the total DFT energy (no corrections) at -4.436 eV per atom. Its calculated volume is 369 Å³/f.u.



2.
KTaBe2: relaxed, PBE.

Unit cell a=4.5888 b=4.5888 c=4.5888 alpha=60.00 beta=60.00 gamma=60.00
Each line ends with the local moment (μB).
Positions (direct):
Be 0.2500 0.2500 0.2500  -0.04
Be 0.0000 0.0000 0.0000  0.01
Ta 0.7500 0.7500 0.7500  1.36
K 0.5000 0.5000 0.5000  0.06

Results
As for the formation energy: 1.713 eV per atom. The total magnetization is 1.9 μB per formula unit. The calculation puts the total DFT energy (no corrections) at -3.388 eV per atom. Its calculated volume is 68 Å³/f.u. The calculation puts the relative energy among the computed polymorphs at 1.048 eV per atom.



3.
RbTcSe2: relaxed, PBE.

Unit cell a=10.3384 b=10.3384 c=10.3384 alpha=18.13 beta=18.13 gamma=18.13
Positions (direct):
Tc 0.0000 0.0000 0.0000
Rb 0.5000 0.5000 0.5000
Se 0.0774 0.0774 0.0774
Se 0.9226 0.9226 0.9226

Results
For the raw formation energy, the calculation gives 1.6 eV/f.u. The total magnetization is 0.0 μB per formula unit. The calculation puts the total DFT energy (no corrections) at -4.170 eV per atom. Its calculated volume is 93 Å³/f.u. The calculation puts the relative energy among the computed polymorphs at 0.841 eV per atom.



4.
Pm7In2Si: relaxed, PBE.

Unit cell a=7.8166 b=7.8166 c=7.8166 alpha=60.00 beta=60.00 gamma=60.00
Positions (direct):
Pm 0.7556 0.2444 0.2444
Pm 0.7556 0.2444 0.7556
Pm 0.2444 0.7556 0.2444
Pm 0.2444 0.7556 0.7556
Pm 0.2444 0.2444 0.7556
Pm 0.7556 0.7556 0.2444
Pm 0.5000 0.5000 0.5000
In 0.2500 0.2500 0.2500
In 0.7500 0.7500 0.7500
Si 0.0000 0.0000 0.0000

Results
For the raw formation energy, the calculation gives 2.2 eV/f.u. The total magnetization is 0.0 μB per formula unit. The calculation puts the total DFT energy (no corrections) at -4.194 eV per atom. Its calculated volume is 338 Å³/f.u.



5.
EuGeBiAu: relaxed, PBE.

Unit cell a=5.2309 b=5.2309 c=5.2309 alpha=60.00 beta=60.00 gamma=60.00
Each line ends with the local moment (μB).
Positions (direct):
Ge 0.2500 0.2500 0.2500  0.03
Eu 0.0000 0.0000 0.0000  6.79
Au 0.7500 0.7500 0.7500  -0.03
Bi 0.5000 0.5000 0.5000  -0.04

Results
As for the formation energy: -0.379 eV per atom. The total magnetization is 6.9 μB per formula unit. The calculation puts the total DFT energy (no corrections) at -5.892 eV per atom. Its calculated volume is 101 Å³/f.u.



6.
ZrInBr2: relaxed, PBE.

Unit cell a=5.1875 b=3.5070 c=5.9817 alpha=73.00 beta=90.00 gamma=90.00
Positions (direct):
Br 0.5000 0.2310 0.1636
Br 0.0000 0.8198 0.9863
In 0.0000 0.5317 0.5608
Zr 0.5000 0.9176 0.7892

Results
For the raw formation energy, the calculation gives -2.0 eV/f.u. The total magnetization is 0.0 μB per formula unit. The calculation puts the total DFT energy (no corrections) at -4.165 eV per atom. Its calculated volume is 104 Å³/f.u. The calculation puts the relative energy among the computed polymorphs at 0.254 eV per atom.



7.
CePa2Tc: relaxed, PBE.

Unit cell a=4.9686 b=4.9686 c=4.9686 alpha=60.00 beta=60.00 gamma=60.00
Positions (direct):
Pa 0.7500 0.7500 0.7500
Pa 0.2500 0.2500 0.2500
Ce 0.0000 0.0000 0.0000
Tc 0.5000 0.5000 0.5000

Results
As for the formation energy: 0.106 eV per atom. The total magnetization is 0.0 μB per formula unit. The calculation puts the total DFT energy (no corrections) at -8.717 eV per atom. Its calculated volume is 87 Å³/f.u. The calculation puts the relative energy among the computed polymorphs at 0.140 eV per atom.



8.
KFeAs2Br: relaxed, PBE.

Unit cell a=4.5034 b=4.5034 c=6.9113 alpha=90.00 beta=90.00 gamma=90.00
Each line ends with the local moment (μB).
Positions (direct):
Fe 0.0000 0.0000 0.0000  1.75
As 0.5000 0.0000 0.0000  -0.05
As 0.0000 0.5000 0.0000  -0.05
K 0.5000 0.5000 0.5000  0.00
Br 0.0000 0.0000 0.5000  0.06

Results
For the raw formation energy, the calculation gives -1.3 eV/f.u. The total magnetization is 1.7 μB per formula unit. The calculation puts the total DFT energy (no corrections) at -4.357 eV per atom. Its calculated volume is 140 Å³/f.u. The calculation puts the relative energy among the computed polymorphs at 0.000 eV per atom.



9.
SrDyPbAu: relaxed, PBE.

Unit cell a=5.4347 b=5.4347 c=5.4347 alpha=60.00 beta=60.00 gamma=60.00
Positions (direct):
Sr 0.7500 0.7500 0.7500
Au 0.0000 0.0000 0.0000
Pb 0.5000 0.5000 0.5000
Dy 0.2500 0.2500 0.2500

Results
As for the formation energy: -0.595 eV per atom. The total magnetization is 0.0 μB per formula unit. The calculation puts the total DFT energy (no corrections) at -3.912 eV per atom. Its calculated volume is 114 Å³/f.u.



10.
CsSr2Sn2: relaxed, PBE.

Unit cell a=10.2871 b=10.2871 c=3.6299 alpha=90.00 beta=90.00 gamma=90.00
Positions (direct):
Sr 0.1273 0.3727 0.0000
Sr 0.6273 0.1273 0.0000
Sr 0.8727 0.6273 0.0000
Sr 0.3727 0.8727 0.0000
Sn 0.3308 0.1692 0.5000
Sn 0.1692 0.6692 0.5000
Sn 0.8308 0.3308 0.5000
Sn 0.6692 0.8308 0.5000
Cs 0.5000 0.5000 0.0000
Cs 0.0000 0.0000 0.0000

Results
As for the formation energy: -0.421 eV per atom. The total magnetization is 0.0 μB per formula unit. The calculation puts the total DFT energy (no corrections) at -2.866 eV per atom. Its calculated volume is 192 Å³/f.u. The calculation puts the relative energy among the computed polymorphs at 0.000 eV per atom.



11.
Nd6Bi3Sb2Pb: relaxed, PBE.

Unit cell a=4.5711 b=9.1585 c=10.2144 alpha=102.65 beta=102.93 gamma=90.00
Positions (direct):
Sb 0.1669 0.3340 0.3338
Sb 0.8331 0.6660 0.6662
Pb 0.5000 0.0000 0.0000
Nd 0.9982 0.7484 0.9965
Nd 0.0018 0.2516 0.0035
Nd 0.6672 0.0885 0.3343
Nd 0.3328 0.9115 0.6657
Nd 0.3314 0.4199 0.6628
Nd 0.6686 0.5801 0.3372
Bi 0.8336 0.1664 0.6671
Bi 0.1664 0.8336 0.3329
Bi 0.5000 0.5000 0.0000

Results
For the raw formation energy, the calculation gives -11.3 eV/f.u. The total magnetization is 0.0 μB per formula unit. The calculation puts the total DFT energy (no corrections) at -5.289 eV per atom. Its calculated volume is 406 Å³/f.u.



12.
Er6In3O2: relaxed, PBE.

Unit cell a=4.6398 b=4.6398 c=12.7289 alpha=100.50 beta=100.50 gamma=90.00
Positions (direct):
O 0.3995 0.3995 0.7989
O 0.6005 0.6005 0.2011
Er 0.9145 0.4145 0.8289
Er 0.6952 0.6952 0.3905
Er 0.0855 0.5855 0.1711
Er 0.3048 0.3048 0.6095
Er 0.4145 0.9145 0.8289
Er 0.5855 0.0855 0.1711
In 0.8239 0.8239 0.6477
In 0.0000 0.0000 0.0000
In 0.1761 0.1761 0.3523

Results
For the raw formation energy, the calculation gives -14.2 eV/f.u. The total magnetization is 0.0 μB per formula unit. The calculation puts the total DFT energy (no corrections) at -5.424 eV per atom. Its calculated volume is 265 Å³/f.u.



13.
MnTcMo2: relaxed, PBE.

Unit cell a=5.0754 b=5.0754 c=5.0754 alpha=143.75 beta=129.25 gamma=63.95
Each line ends with the local moment (μB).
Positions (direct):
Mo 0.5032 0.5032 0.0000  -0.13
Mo 0.9968 0.9968 0.0000  -0.13
Tc 0.7500 0.2500 0.5000  0.03
Mn 0.2500 0.7500 0.5000  2.68

Results
As for the formation energy: 0.063 eV per atom. The total magnetization is 2.5 μB per formula unit. The calculation puts the total DFT energy (no corrections) at -10.236 eV per atom. Its calculated volume is 59 Å³/f.u. The calculation puts the relative energy among the computed polymorphs at 0.000 eV per atom.



14.
Bi2SeBr3: relaxed, PBE.

Unit cell a=4.6624 b=9.3801 c=11.4805 alpha=81.32 beta=78.28 gamma=75.61
Positions (direct):
Bi 0.8847 0.3582 0.8725
Bi 0.3836 0.8737 0.3592
Bi 0.6164 0.1263 0.6408
Bi 0.1153 0.6418 0.1275
Br 0.1623 0.1951 0.4802
Br 0.0767 0.0401 0.8066
Br 0.2853 0.3429 0.0864
Br 0.8377 0.8049 0.5198
Br 0.7147 0.6571 0.9136
Br 0.9233 0.9599 0.1934
Se 0.5622 0.5967 0.2789
Se 0.4378 0.4033 0.7211

Results
For the raw formation energy, the calculation gives -3.0 eV/f.u. The total magnetization is 0.0 μB per formula unit. The calculation puts the total DFT energy (no corrections) at -3.203 eV per atom. Its calculated volume is 237 Å³/f.u.



15.
KAc2CuS4: relaxed, PBE.

Unit cell a=4.2754 b=7.6000 c=14.5438 alpha=90.00 beta=90.00 gamma=106.34
Positions (direct):
Ac 0.3655 0.7310 0.9385
Ac 0.6345 0.2690 0.0615
Ac 0.6345 0.2690 0.4385
Ac 0.3655 0.7310 0.5615
S 0.5745 0.1489 0.2500
S 0.7382 0.4763 0.8814
S 0.0000 0.0000 0.5000
S 0.2618 0.5237 0.3814
S 0.7382 0.4763 0.6186
S 0.4255 0.8511 0.7500
S 0.0000 0.0000 0.0000
S 0.2618 0.5237 0.1186
Cu 0.1663 0.3326 0.2500
Cu 0.8337 0.6674 0.7500
K 0.8948 0.7896 0.2500
K 0.1052 0.2104 0.7500

Results
For the raw formation energy, the calculation gives -13.3 eV/f.u. The total magnetization is 0.0 μB per formula unit. The calculation puts the total DFT energy (no corrections) at -5.398 eV per atom. Its calculated volume is 227 Å³/f.u.



16.
Zr2PtCl: relaxed, PBE.

Unit cell a=5.0579 b=5.0579 c=3.0232 alpha=83.55 beta=83.55 gamma=96.42
Positions (direct):
Pt 0.0000 0.5000 0.5000
Zr 0.0000 0.0000 0.0000
Zr 0.5000 0.5000 0.0000
Cl 0.5000 0.0000 0.5000

Results
For the raw formation energy, the calculation gives -2.6 eV/f.u. The total magnetization is 0.0 μB per formula unit. The calculation puts the total DFT energy (no corrections) at -6.884 eV per atom. Its calculated volume is 76 Å³/f.u. The calculation puts the relative energy among the computed polymorphs at 0.246 eV per atom.



17.
CePaSn: relaxed, PBE.

Unit cell a=3.1759 b=5.1745 c=5.1745 alpha=120.00 beta=90.00 gamma=90.00
Each line ends with the local moment (μB).
Positions (direct):
Ce 0.5000 0.3333 0.6667  0.37
Sn 0.9998 0.0000 0.0000  -0.01
Pa 0.5002 0.6667 0.3333  0.38

Results
As for the formation energy: -0.122 eV per atom. The total magnetization is 0.8 μB per formula unit. The calculation puts the total DFT energy (no corrections) at -6.599 eV per atom. Its calculated volume is 74 Å³/f.u. The calculation puts the relative energy among the computed polymorphs at 0.104 eV per atom.



18.
La3RhPb2: relaxed, PBE.

Unit cell a=4.5980 b=12.3233 c=13.1393 alpha=90.00 beta=90.00 gamma=90.00
Positions (direct):
La 0.7500 0.2932 0.7564
La 0.2500 0.3702 0.0524
La 0.2500 0.7932 0.7436
La 0.7500 0.6298 0.9476
La 0.2500 0.1298 0.5524
La 0.2500 0.7068 0.2436
La 0.7500 0.9581 0.1191
La 0.2500 0.0419 0.8809
La 0.7500 0.2068 0.2564
La 0.7500 0.5419 0.6191
La 0.2500 0.4581 0.3809
La 0.7500 0.8702 0.4476
Pb 0.2500 0.4992 0.8100
Pb 0.7500 0.5008 0.1900
Pb 0.7500 0.9992 0.6900
Pb 0.2500 0.0008 0.3100
Pb 0.2500 0.8060 0.0022
Pb 0.7500 0.1940 0.9978
Pb 0.7500 0.3060 0.4978
Pb 0.2500 0.6940 0.5022
Rh 0.7500 0.6357 0.3717
Rh 0.2500 0.1357 0.1283
Rh 0.7500 0.8643 0.8717
Rh 0.2500 0.3643 0.6283

Results
As for the formation energy: -0.679 eV per atom. The total magnetization is 0.0 μB per formula unit. The calculation puts the total DFT energy (no corrections) at -5.604 eV per atom. Its calculated volume is 186 Å³/f.u. The calculation puts the relative energy among the computed polymorphs at 0.000 eV per atom.



19.
BaCrAg2Se4: relaxed, PBE.

Unit cell a=6.8273 b=6.5966 c=6.5966 alpha=79.32 beta=58.84 gamma=58.84
Each line ends with the local moment (μB).
Positions (direct):
Ag 0.5000 0.6770 0.3230  -0.01
Ag 0.5000 0.3230 0.6770  -0.01
Cr 0.0000 0.5000 0.5000  2.19
Se 0.9950 0.8521 0.5287  -0.07
Se 0.6242 0.5287 0.8521  -0.07
Se 0.3758 0.1479 0.4713  -0.07
Se 0.0050 0.4713 0.1479  -0.07
Ba 0.0000 0.0000 0.0000  0.01

Results
For the raw formation energy, the calculation gives -5.3 eV/f.u. The total magnetization is 2.0 μB per formula unit. The calculation puts the total DFT energy (no corrections) at -4.564 eV per atom. Its calculated volume is 216 Å³/f.u.